Model a:
This record from Alexandria describes a relaxed TmPaZn crystal. The functional is GGA-PBE.

Computed properties:
- Fermi-level density of states: 5.3 states/eV/f.u.

Cell lengths 5.0437, 5.0437, 3.1922 Å; angles 90.00, 90.00, 120.00 degrees
Fractional positions:
Tm 0.0000 0.0000 0.0000
Pa 0.6667 0.3333 0.5459
Zn 0.3333 0.6667 0.2063

---

Model b:
This record from Alexandria describes a relaxed TmPaZn crystal. The functional is GGA-PBE.

Computed properties:
- Fermi-level density of states: 4.3 states/eV/f.u.

Cell lengths 8.4755, 8.4755, 5.1509 Å; angles 90.00, 90.00, 157.82 degrees
Fractional positions:
Tm 0.0790 0.9210 0.7500
Tm 0.9210 0.0790 0.2500
Pa 0.2325 0.7675 0.2500
Pa 0.7675 0.2325 0.7500
Zn 0.4265 0.5735 0.7500
Zn 0.5735 0.4265 0.2500

---

Energy above the most stable structure, in meV/atom: model a 321; model b 0

---

Model a:
This record from Alexandria describes a relaxed TmPaZn4 crystal. The functional is GGA-PBE.

Computed properties:
- Fermi-level density of states: 6.3 states/eV/f.u.

Cell lengths 5.4208, 5.4208, 5.4208 Å; angles 60.00, 60.00, 60.00 degrees
Fractional positions:
Tm 0.0000 0.0000 0.0000
Pa 0.7500 0.7500 0.7500
Zn 0.3748 0.3748 0.3748
Zn 0.3748 0.3748 0.8755
Zn 0.3748 0.8755 0.3748
Zn 0.8755 0.3748 0.3748

---

Model b:
This record from Alexandria describes a relaxed TmPaZn4 crystal. The functional is GGA-PBE.

Computed properties:
- Fermi-level density of states: 6.7 states/eV/f.u.

Cell lengths 3.2700, 4.5269, 7.8394 Å; angles 90.00, 90.00, 90.00 degrees
Fractional positions:
Tm 0.0000 0.0000 0.0000
Pa 0.0000 0.5000 0.5000
Zn 0.5000 0.0000 0.3297
Zn 0.5000 0.0000 0.6703
Zn 0.5000 0.5000 0.1635
Zn 0.5000 0.5000 0.8365

---

Energy above the most stable structure, in meV/atom: model a 59; model b 0

---

Model a:
This record from Alexandria describes a relaxed Tm2PaZn crystal. The functional is GGA-PBE.

Computed properties:
- Fermi-level density of states: 6.0 states/eV/f.u.

Cell lengths 11.2962, 11.2962, 11.2962 Å; angles 16.52, 16.52, 16.52 degrees
Fractional positions:
Tm 0.0966 0.0966 0.0966
Tm 0.9034 0.9034 0.9034
Pa 0.0000 0.0000 0.0000
Zn 0.5000 0.5000 0.5000

---

Model b:
This record from Alexandria describes a relaxed Tm2PaZn crystal. The functional is GGA-PBE.

Computed properties:
- Fermi-level density of states: 5.0 states/eV/f.u.

Cell lengths 3.3654, 3.3654, 8.6289 Å; angles 90.00, 90.00, 90.00 degrees
Fractional positions:
Tm 0.0000 0.0000 0.2215
Tm 0.0000 0.0000 0.7785
Pa 0.5000 0.5000 0.5000
Zn 0.5000 0.5000 0.0000

---

Energy above the most stable structure, in meV/atom: model a 291; model b 0

---

Model a:
This record from Alexandria describes a relaxed TmZr2Pa crystal. The functional is GGA-PBE.

Computed properties:
- Fermi-level density of states: 7.2 states/eV/f.u.

Cell lengths 11.6599, 11.6599, 11.6599 Å; angles 15.93, 15.93, 15.93 degrees
Fractional positions:
Tm 0.0000 0.0000 0.0000
Zr 0.0895 0.0895 0.0895
Zr 0.9105 0.9105 0.9105
Pa 0.5000 0.5000 0.5000

---

Model b:
This record from Alexandria describes a relaxed TmZr2Pa crystal. The functional is GGA-PBE.

Computed properties:
- Fermi-level density of states: 7.1 states/eV/f.u.

Cell lengths 4.6998, 4.6998, 4.5574 Å; angles 90.00, 90.00, 90.00 degrees
Fractional positions:
Tm 0.0000 0.0000 0.0000
Zr 0.0000 0.5000 0.5000
Zr 0.5000 0.0000 0.5000
Pa 0.5000 0.5000 0.0000

---

Energy above the most stable structure, in meV/atom: model a 127; model b 0

---

Model a:
This record from Alexandria describes a relaxed TmZr2Pa crystal. The functional is GGA-PBE.

Computed properties:
- Fermi-level density of states: 10.3 states/eV/f.u.

Cell lengths 5.2006, 5.2006, 5.2006 Å; angles 60.00, 60.00, 60.00 degrees
Fractional positions:
Tm 0.0000 0.0000 0.0000
Zr 0.2500 0.2500 0.2500
Zr 0.7500 0.7500 0.7500
Pa 0.5000 0.5000 0.5000

---

Model b:
This record from Alexandria describes a relaxed TmZr2Pa crystal. The functional is GGA-PBE.

Computed properties:
- Fermi-level density of states: 6.4 states/eV/f.u.

Cell lengths 11.0896, 11.0896, 11.0896 Å; angles 16.88, 16.88, 16.88 degrees
Fractional positions:
Tm 0.0000 0.0000 0.0000
Zr 0.4189 0.4189 0.4189
Zr 0.5817 0.5817 0.5817
Pa 0.1671 0.1671 0.1671

---

Energy above the most stable structure, in meV/atom: model a 132; model b 0

---

Model a:
This record from Alexandria describes a relaxed Tm2ZrPa crystal. The functional is GGA-PBE.

Computed properties:
- Fermi-level density of states: 7.8 states/eV/f.u.

Cell lengths 11.3114, 11.3114, 11.3114 Å; angles 16.79, 16.79, 16.79 degrees
Fractional positions:
Tm 0.0000 0.0000 0.0000
Tm 0.1711 0.1711 0.1711
Zr 0.5857 0.5857 0.5857
Pa 0.7518 0.7518 0.7518

---

Model b:
This record from Alexandria describes a relaxed Tm2ZrPa crystal. The functional is GGA-PBE.

Computed properties:
- Fermi-level density of states: 5.8 states/eV/f.u.

Cell lengths 11.7892, 11.7892, 11.7892 Å; angles 15.84, 15.84, 15.84 degrees
Fractional positions:
Tm 0.0908 0.0908 0.0908
Tm 0.9092 0.9092 0.9092
Zr 0.5000 0.5000 0.5000
Pa 0.0000 0.0000 0.0000

---

Energy above the most stable structure, in meV/atom: model a 0; model b 111